[1]
First-principles (PBE) data for Tl5Hg2Te5 after structural relaxation, as listed in the Alexandria database.

Summary:
The total energy comes out at -30.80 eV per cell. As for the formation energy (no corrections): -0.221 eV/atom. The theoretical density comes out at 8.0 Mg/m³.

```
12
Lattice="-4.035 2.271 0.859 0.929 -5.520 6.004 6.340 10.234 2.858" Properties=species:S:1:pos:R:3 pbc="T T T"
Hg 4.872 7.604 2.875
Hg -1.638 -0.619 6.846
Tl 3.587 4.366 5.347
Tl 5.241 6.647 7.159
Tl 1.153 6.252 1.859
Tl -2.006 0.337 2.562
Tl -0.352 2.619 4.374
Te 0.897 3.821 7.055
Te 2.337 3.164 2.666
Te 0.573 -0.873 4.995
Te 0.000 0.000 0.000
Te 2.662 7.858 4.726
```



[2]
First-principles (PBE) data for TlHgTe2 after structural relaxation, as listed in the Alexandria database.

Summary:
The total energy comes out at -8.88 eV per cell. As for the formation energy (no corrections): 0.019 eV/atom. The theoretical density comes out at 8.6 Mg/m³.

```
4
Lattice="-3.224 5.467 -0.876 -6.301 -1.160 -0.032 5.344 -0.218 3.527" Properties=species:S:1:pos:R:3 pbc="T T T"
Hg -2.714 0.322 1.534
Te -9.498 4.295 -0.905
Te -1.619 3.836 1.070
Tl -4.636 2.096 -0.442
```



What did the second record say?
First-principles (PBE) data for TlHgTe2 after structural relaxation, as listed in the Alexandria database.

Summary:
The total energy comes out at -8.88 eV per cell. As for the formation energy (no corrections): 0.019 eV/atom. The theoretical density comes out at 8.6 Mg/m³.

```
4
Lattice="-3.224 5.467 -0.876 -6.301 -1.160 -0.032 5.344 -0.218 3.527" Properties=species:S:1:pos:R:3 pbc="T T T"
Hg -2.714 0.322 1.534
Te -9.498 4.295 -0.905
Te -1.619 3.836 1.070
Tl -4.636 2.096 -0.442
```



Q: Number 1 is which compound?
A: Tl5Hg2Te5